A plane-wave DFT calculation with PBE was carried out for a relaxed BaCu2BiCl8 crystal.

a = 6.2450 Å, b = 6.2450 Å, c = 9.4798 Å
α = 90.65°, β = 90.65°, γ = 74.30°
With the nearest neighbours (Å) after each atom.
Positions (direct):
Ba  0.0000  0.0000  0.0000  6 Cl 3.10-3.19
Cu  0.3538  0.3538  0.7329  4 Cl 2.21-2.42
Cu  0.6462  0.6462  0.2671  4 Cl 2.21-2.42
Bi  0.0000  0.0000  0.5000  6 Cl 2.72-2.77
Cl  0.2318  0.7562  0.7218  1 Cu 2.42
Cl  0.2438  0.7682  0.2782  1 Cu 2.42
Cl  0.2730  0.2730  0.5121  1 Cu 2.23
Cl  0.3084  0.3084  0.9607  1 Cu 2.21
Cl  0.6916  0.6916  0.0393  1 Cu 2.21
Cl  0.7270  0.7270  0.4879  1 Cu 2.23
Cl  0.7562  0.2318  0.7218  1 Cu 2.42
Cl  0.7682  0.2438  0.2782  1 Cu 2.42

Calculated values
Its density of states at the Fermi level is 5.0 states/eV per cell. Its calculated volume is 355.9 Å³ per cell. For the total DFT energy (no corrections), the calculation gives -3.533 eV/atom. The uncorrected formation energy is -1135 meV per atom.



A plane-wave DFT calculation with PBE was carried out for a relaxed Ba4Bi2ICl crystal.

a = 8.5956 Å, b = 7.1789 Å, c = 8.6048 Å
α = 65.26°, β = 49.34°, γ = 65.40°
With the nearest neighbours (Å) after each atom.
Positions (direct):
Ba  0.2394  0.7606  0.2394  1 Cl 3.33, 4 Bi 3.57-3.61, 1 I 3.62
Ba  0.4764  0.9943  0.5236  1 Cl 3.31, 2 Bi 3.48, 2 I 3.58-3.60
Ba  0.7606  0.2394  0.7606  1 Cl 3.33, 4 Bi 3.57-3.61, 1 I 3.62
Ba  0.9943  0.4764  0.0057  1 Cl 3.31, 2 Bi 3.48, 2 I 3.58-3.60
Bi  0.2531  0.2531  0.2469  6 Ba 3.48-3.61
Bi  0.7531  0.7531  0.7469  6 Ba 3.48-3.61
I  0.4956  0.4956  0.5044  6 Ba 3.58-3.62
Cl  0.0163  0.0163  0.9837  4 Ba 3.31-3.33

Calculated values
Its density of states at the Fermi level is 0.5 states/eV per cell. Its calculated volume is 357.8 Å³ per cell. For the total DFT energy (no corrections), the calculation gives -3.719 eV/atom. The uncorrected formation energy is -1363 meV per atom.



A plane-wave DFT calculation with PBE was carried out for a relaxed Ba4BiI2Cl crystal.

a = 8.3706 Å, b = 5.0022 Å, c = 8.7509 Å
α = 90.00°, β = 109.62°, γ = 90.00°
With the nearest neighbours (Å) after each atom.
Positions (direct):
Ba  0.2392  0.0000  0.2270  2 Cl 3.40, 1 Bi 3.41, 3 I 3.60-3.64
Ba  0.2510  0.5000  0.7714  1 Cl 3.35, 2 Bi 3.44, 3 I 3.60-3.65
Ba  0.7490  0.5000  0.2286  1 Cl 3.35, 2 Bi 3.44, 3 I 3.60-3.65
Ba  0.7608  0.0000  0.7730  2 Cl 3.40, 1 Bi 3.41, 3 I 3.60-3.64
Bi  0.5000  0.0000  0.0000  6 Ba 3.41-3.44
I  0.0000  0.0000  0.5000  6 Ba 3.60
I  0.5000  0.5000  0.5000  6 Ba 3.64-3.65
Cl  0.0000  0.5000  0.0000  6 Ba 3.35-3.40

Calculated values
Its density of states at the Fermi level is 4.3 states/eV per cell. Its calculated volume is 345.1 Å³ per cell. For the total DFT energy (no corrections), the calculation gives -3.479 eV/atom. The uncorrected formation energy is -1414 meV per atom.



A plane-wave DFT calculation with PBE was carried out for a relaxed Ba4BiICl2 crystal.

a = 8.2289 Å, b = 4.9257 Å, c = 8.4172 Å
α = 90.00°, β = 110.17°, γ = 90.00°
With the nearest neighbours (Å) after each atom.
Positions (direct):
Ba  0.2322  0.0000  0.2365  3 Cl 3.33-3.39, 1 Bi 3.44, 2 I 3.53
Ba  0.2371  0.5000  0.7547  3 Cl 3.29-3.40, 2 Bi 3.45, 1 I 3.53
Ba  0.7629  0.5000  0.2453  3 Cl 3.29-3.40, 2 Bi 3.45, 1 I 3.53
Ba  0.7678  0.0000  0.7635  3 Cl 3.33-3.39, 1 Bi 3.44, 2 I 3.53
Bi  0.5000  0.0000  0.0000  6 Ba 3.44-3.45
I  0.5000  0.5000  0.5000  6 Ba 3.53
Cl  0.0000  0.0000  0.5000  6 Ba 3.39-3.40
Cl  0.0000  0.5000  0.0000  6 Ba 3.29-3.33

Calculated values
Its density of states at the Fermi level is 3.9 states/eV per cell. Its calculated volume is 320.3 Å³ per cell. For the total DFT energy (no corrections), the calculation gives -3.625 eV/atom. The uncorrected formation energy is -1523 meV per atom.



A plane-wave DFT calculation with PBE was carried out for a relaxed Ba8Bi3I4Cl crystal.

a = 10.1022 Å, b = 10.1022 Å, c = 10.1022 Å
α = 59.86°, β = 59.86°, γ = 59.86°
With the nearest neighbours (Å) after each atom.
Positions (direct):
Ba  0.2395  0.7435  0.7435  2 Bi 3.45, 1 Cl 3.48, 3 I 3.66-3.69
Ba  0.2432  0.2432  0.2432  3 Bi 3.47, 3 I 3.67
Ba  0.2565  0.2565  0.7605  2 Bi 3.45, 1 Cl 3.48, 3 I 3.66-3.69
Ba  0.2565  0.7605  0.2565  2 Bi 3.45, 1 Cl 3.48, 3 I 3.66-3.69
Ba  0.7435  0.2395  0.7435  2 Bi 3.45, 1 Cl 3.48, 3 I 3.66-3.69
Ba  0.7435  0.7435  0.2395  2 Bi 3.45, 1 Cl 3.48, 3 I 3.66-3.69
Ba  0.7568  0.7568  0.7568  3 Bi 3.47, 3 I 3.67
Ba  0.7605  0.2565  0.2564  2 Bi 3.45, 1 Cl 3.48, 3 I 3.66-3.69
Bi  0.0000  0.0000  0.5000  6 Ba 3.45-3.47
Bi  0.0000  0.5000  0.0000  6 Ba 3.45-3.47
Bi  0.5000  0.0000  0.0000  6 Ba 3.45-3.47
I  0.0000  0.0000  0.0000  6 Ba 3.66
I  0.0000  0.5000  0.5000  6 Ba 3.67-3.69
I  0.5000  0.0000  0.5000  6 Ba 3.67-3.69
I  0.5000  0.5000  0.0000  6 Ba 3.67-3.69
Cl  0.5000  0.5000  0.5000  6 Ba 3.48

Calculated values
Its density of states at the Fermi level is 6.7 states/eV per cell. Its calculated volume is 726.7 Å³ per cell. For the total DFT energy (no corrections), the calculation gives -3.562 eV/atom. The uncorrected formation energy is -1370 meV per atom.



A plane-wave DFT calculation with PBE was carried out for a relaxed BaInBiCl crystal.

a = 5.3806 Å, b = 5.3806 Å, c = 9.3891 Å
α = 90.00°, β = 90.00°, γ = 90.00°
With the nearest neighbours (Å) after each atom.
Positions (direct):
Ba  0.2500  0.2500  0.1835  4 Cl 3.19
Ba  0.7500  0.7500  0.8165  4 Cl 3.19
In  0.2500  0.7500  0.5000  4 Bi 3.10
In  0.7500  0.2500  0.5000  4 Bi 3.10
Bi  0.2500  0.2500  0.6651  4 In 3.10
Bi  0.7500  0.7500  0.3349  4 In 3.10
Cl  0.2500  0.7500  0.0000  4 Ba 3.19
Cl  0.7500  0.2500  0.0000  4 Ba 3.19

Calculated values
Its density of states at the Fermi level is 2.1 states/eV per cell. Its calculated volume is 271.8 Å³ per cell. For the total DFT energy (no corrections), the calculation gives -3.755 eV/atom. The uncorrected formation energy is -1158 meV per atom.



A plane-wave DFT calculation with PBE was carried out for a relaxed K2BaBiCl crystal.

a = 5.7265 Å, b = 5.7265 Å, c = 6.2829 Å
α = 90.00°, β = 90.00°, γ = 90.00°
With the nearest neighbours (Å) after each atom.
Positions (direct):
K  0.0000  0.5000  0.0000  2 Cl 2.86
K  0.5000  0.0000  0.0000  2 Cl 2.86
Ba  0.0000  0.0000  0.5000  2 Cl 3.14
Bi  0.5000  0.5000  0.5000  4 Ba 4.05, 8 K 4.25
Cl  0.0000  0.0000  0.0000  4 K 2.86, 2 Ba 3.14

Calculated values
Its density of states at the Fermi level is 0.3 states/eV per cell. Its calculated volume is 206.0 Å³ per cell. For the total DFT energy (no corrections), the calculation gives -3.006 eV/atom. The uncorrected formation energy is -1037 meV per atom.



A plane-wave DFT calculation with PBE was carried out for a relaxed KBaBiCl6 crystal.

a = 7.6895 Å, b = 7.6895 Å, c = 13.0781 Å
α = 90.00°, β = 90.00°, γ = 120.00°
With the nearest neighbours (Å) after each atom.
Positions (direct):
K  0.0000  0.0000  0.0000  6 Cl 3.25
K  0.0000  0.0000  0.5000  6 Cl 3.25
Ba  0.3333  0.6667  0.2500  6 Cl 3.10
Ba  0.6667  0.3333  0.7500  6 Cl 3.10
Bi  0.3333  0.6667  0.7500  6 Cl 2.74
Bi  0.6667  0.3333  0.2500  6 Cl 2.74
Cl  0.0352  0.3752  0.6318  1 Bi 2.74
Cl  0.0352  0.6599  0.8682  1 Bi 2.74
Cl  0.3401  0.3752  0.8682  1 Bi 2.74
Cl  0.3401  0.9648  0.6318  1 Bi 2.74
Cl  0.3752  0.0352  0.1318  1 Bi 2.74
Cl  0.3752  0.3401  0.3682  1 Bi 2.74
Cl  0.6248  0.6599  0.6318  1 Bi 2.74
Cl  0.6248  0.9648  0.8682  1 Bi 2.74
Cl  0.6599  0.0352  0.3682  1 Bi 2.74
Cl  0.6599  0.6248  0.1318  1 Bi 2.74
Cl  0.9648  0.3401  0.1318  1 Bi 2.74
Cl  0.9648  0.6248  0.3682  1 Bi 2.74

Calculated values
Its density of states at the Fermi level is 0.0 states/eV per cell. Its calculated volume is 669.7 Å³ per cell. For the total DFT energy (no corrections), the calculation gives -3.727 eV/atom. The uncorrected formation energy is -1729 meV per atom.



Which value of total DFT energy (no corrections) does entry 7 give? -3.006 eV/atom



Which of these has the highest calculated volume? Ba8Bi3I4Cl



total DFT energy (no corrections) of number 2 (Ba4Bi2ICl)? -3.719 eV/atom



Which formula does entry 3 have? Ba4BiI2Cl